(1)
A geometry-optimized UTl2VBr8 structure, computed with PBE. Values from VASP.

**ΔE_f (raw)**: -1.00 eV/atom
**Theoretical density**: 5.09 Mg/m³
**SG**: No. 2

```
&SYSTEM
  ibrav = 0, nat = 12, ntyp = 4
/
ATOMIC_SPECIES
U 238.03 U.upf
Tl 204.38 Tl.upf
V 50.94 V.upf
Br 79.90 Br.upf
CELL_PARAMETERS angstrom
-5.017 -5.104 2.673
0.680 -3.395 -6.037
6.176 -4.400 3.153
ATOMIC_POSITIONS angstrom
U 3.088 -2.200 1.576
Tl 2.583 -7.635 0.746
Tl -0.743 -5.264 -0.957
V 0.000 0.000 0.000
Br 1.386 -4.247 -3.608
Br 3.190 -10.752 0.139
Br -2.834 -6.309 1.718
Br 0.453 -8.652 3.396
Br -1.350 -2.147 -0.350
Br 4.674 -6.590 -1.929
Br 0.222 -8.360 -1.404
Br 1.618 -4.539 1.192
```

(2)
A geometry-optimized InNi9Sn2 structure, computed with PBE. Values from VASP.

**Theoretical density**: 9.35 Mg/m³
**Energy of formation from the pure elements**: -0.136 eV/atom
**SG**: No. 123

```
&SYSTEM
  ibrav = 0, nat = 12, ntyp = 3
/
ATOMIC_SPECIES
In 114.82 In.upf
Ni 58.69 Ni.upf
Sn 118.71 Sn.upf
CELL_PARAMETERS angstrom
3.736 0.000 0.000
0.000 3.736 0.000
0.000 0.000 11.203
ATOMIC_POSITIONS angstrom
In 0.000 0.000 0.000
Ni 1.868 1.868 0.000
Ni 1.868 1.868 3.750
Ni 1.868 1.868 7.453
Ni 1.868 0.000 1.884
Ni 1.868 0.000 5.602
Ni 1.868 0.000 9.319
Ni 0.000 1.868 1.884
Ni 0.000 1.868 5.602
Ni 0.000 1.868 9.319
Sn 0.000 0.000 3.728
Sn 0.000 0.000 7.475
```

(3)
A geometry-optimized Na2PrAlO4 structure, computed with PBE. Values from VASP.

**ΔE_f (raw)**: -2.40 eV/atom
**Theoretical density**: 4.24 Mg/m³
**SG**: No. 121

```
&SYSTEM
  ibrav = 0, nat = 8, ntyp = 4
/
ATOMIC_SPECIES
Na 22.99 Na.upf
Pr 140.91 Pr.upf
Al 26.98 Al.upf
O 16.00 O.upf
CELL_PARAMETERS angstrom
-1.415 2.580 -5.157
-4.654 -0.345 -2.314
-1.862 4.841 -0.486
ATOMIC_POSITIONS angstrom
Na -4.664 2.242 -4.436
Na -3.267 4.834 -3.521
Pr 0.000 0.000 0.000
Al -3.258 2.248 -1.400
O -4.798 5.641 -4.961
O -2.137 3.285 -2.344
O -4.069 3.143 -6.410
O -4.858 2.083 -2.199
```

Magnetic moment readings, ordered: 5.00; 0.39; 0.00 μB per cell
Calculated total energy readings, ordered: -4.21; -5.37; -6.27 eV/atom
DOS(E_F) readings, ordered: 14.76; 14.88; 0.00 states/eV/f.u.